(1)
VASP calculation (PBE-GGA) on crystalline La3TlAg2 at its relaxed geometry.

Calculated values
As for the raw total energy: -4.12 eV/atom. Its density of states at the Fermi level is 13.491 states/eV/cell. The value obtained for the energy relative to the elements is -0.31 eV/atom. As for the magnetic moment: 1.0 Bohr magnetons per cell.

abc: 5.4920 5.4920 13.4605
angles: 90.00 90.00 120.00
Site moments in Bohr magnetons follow the coordinates.
Fractional positions:
La  0.3333  0.6667  0.4185  0.08
La  0.6667  0.3333  0.0747  0.08
La  0.0000  0.0000  0.7578  0.07
La  0.0000  0.0000  0.2422  0.07
La  0.3333  0.6667  0.9253  0.08
La  0.6667  0.3333  0.5815  0.08
Tl  0.3333  0.6667  0.6714  0.00
Tl  0.6667  0.3333  0.3286  0.00
Ag  0.0000  0.0000  0.5000  0.01
Ag  0.3333  0.6667  0.1707  0.01
Ag  0.6667  0.3333  0.8293  0.01
Ag  0.0000  0.0000  0.0000  0.01

---

(2)
VASP calculation (PBE-GGA) on crystalline Pm3Ru4C4 at its relaxed geometry.

Calculated values
As for the raw total energy: -7.90 eV/atom. Its density of states at the Fermi level is 5.911 states/eV/cell. The value obtained for the energy relative to the elements is 0.12 eV/atom. As for the magnetic moment: 0.0 Bohr magnetons per cell.

abc: 3.6750 3.8662 12.6128
angles: 98.82 98.38 90.00
Fractional positions:
Pm  0.3528  0.8528  0.7057
Pm  0.6472  0.1472  0.2943
Pm  0.0000  0.0000  0.0000
Ru  0.2489  0.2489  0.4978
Ru  0.0901  0.5901  0.1802
Ru  0.9099  0.4099  0.8198
Ru  0.7511  0.7511  0.5022
C  0.7881  0.2881  0.5763
C  0.4370  0.4370  0.8740
C  0.5630  0.5630  0.1260
C  0.2119  0.7119  0.4237

---

(3)
VASP calculation (PBE-GGA) on crystalline NaPdSe2Br at its relaxed geometry.

Calculated values
As for the raw total energy: -2.35 eV/atom. The value obtained for the uncorrected formation energy is 0.685 eV per atom. Its density of states at the Fermi level is 6.751 states/eV/cell. The offset from the most stable computed form is 89.1 kJ/mol of atoms. As for the magnetic moment: 2.9 Bohr magnetons per cell.

abc: 5.2022 5.2022 5.2422
angles: 90.00 90.00 90.00
Site moments in Bohr magnetons follow the coordinates.
Fractional positions:
Na  0.0000  0.0000  0.0000  0.00
Se  0.0000  0.5000  0.0000  0.61
Se  0.5000  0.0000  0.0000  0.61
Br  0.0000  0.0000  0.5000  0.33
Pd  0.5000  0.5000  0.5000  0.56

---

(4)
VASP calculation (PBE-GGA) on crystalline ErZnB at its relaxed geometry.

Calculated values
As for the raw total energy: -4.41 eV/atom. Its density of states at the Fermi level is 3.098 states/eV/cell. The value obtained for the energy relative to the elements is -0.24 eV/atom. As for the magnetic moment: 0.0 Bohr magnetons per cell.

abc: 3.7656 4.6696 6.5960
angles: 101.17 90.00 113.78
Fractional positions:
Er  0.1064  0.2128  0.8045
Er  0.8936  0.7872  0.1955
Zn  0.3584  0.7167  0.5682
Zn  0.6416  0.2833  0.4318
B  0.5814  0.1629  0.0817
B  0.4186  0.8371  0.9183

---

(5)
VASP calculation (PBE-GGA) on crystalline La8CoIr2Pd at its relaxed geometry.

Calculated values
As for the raw total energy: -6.24 eV/atom. Its density of states at the Fermi level is 11.630 states/eV/cell. The value obtained for the energy relative to the elements is -0.45 eV/atom. As for the magnetic moment: 0.0 Bohr magnetons per cell.

abc: 6.7801 6.7996 8.5926
angles: 90.03 90.01 88.50
Fractional positions:
La  0.1528  0.7682  0.2322
La  0.6636  0.7285  0.0002
La  0.8475  0.2323  0.2324
La  0.8472  0.2318  0.7678
La  0.3364  0.2715  0.9998
La  0.1525  0.7677  0.7676
La  0.6511  0.7242  0.5000
La  0.3489  0.2758  0.5000
Co  0.0000  0.0000  0.0000
Ir  0.5001  0.5001  0.7508
Ir  0.4999  0.4999  0.2492
Pd  0.0000  0.0000  0.5000

---

(6)
VASP calculation (PBE-GGA) on crystalline BaCa2Re at its relaxed geometry.

Calculated values
As for the raw total energy: -3.71 eV/atom. Its density of states at the Fermi level is 4.345 states/eV/cell. The value obtained for the energy relative to the elements is 0.89 eV/atom. The offset from the most stable computed form is 16.8 kJ/mol of atoms. As for the magnetic moment: 0.9 Bohr magnetons per cell.

abc: 5.7895 5.7895 5.7895
angles: 127.37 127.37 77.65
Site moments in Bohr magnetons follow the coordinates.
Fractional positions:
Re  0.5000  0.5000  0.0000  0.98
Ca  0.0000  0.0000  0.0000  -0.05
Ca  0.2500  0.7500  0.5000  -0.02
Ba  0.7500  0.2500  0.5000  -0.04

---

(7)
VASP calculation (PBE-GGA) on crystalline Ba2SrMgZn at its relaxed geometry.

Calculated values
As for the raw total energy: -1.66 eV/atom. Its density of states at the Fermi level is 4.658 states/eV/cell. The value obtained for the energy relative to the elements is 0.02 eV/atom. The offset from the most stable computed form is 0.0 kJ/mol of atoms. As for the magnetic moment: 0.0 Bohr magnetons per cell.

abc: 6.5538 6.5538 5.2913
angles: 90.00 90.00 90.00
Fractional positions:
Mg  0.0000  0.0000  0.5000
Sr  0.5000  0.5000  0.5000
Zn  0.0000  0.0000  0.0000
Ba  0.0000  0.5000  0.0000
Ba  0.5000  0.0000  0.0000

---

(8)
VASP calculation (PBE-GGA) on crystalline Ce6ZnGa2 at its relaxed geometry.

Calculated values
As for the raw total energy: -4.99 eV/atom. Its density of states at the Fermi level is 22.840 states/eV/cell. The value obtained for the energy relative to the elements is -0.22 eV/atom. As for the magnetic moment: 1.5 Bohr magnetons per cell.

abc: 2.9347 8.8273 8.8273
angles: 120.00 90.00 90.00
Site moments in Bohr magnetons follow the coordinates.
Fractional positions:
Ce  0.5000  0.3297  0.3297  0.21
Ce  0.5000  0.6703  0.6703  0.21
Ce  0.5000  0.0000  0.6703  0.21
Ce  0.5000  0.6703  0.0000  0.21
Ce  0.5000  0.3297  0.0000  0.21
Ce  0.5000  0.0000  0.3297  0.21
Zn  0.0000  0.0000  0.0000  0.00
Ga  0.0000  0.3333  0.6667  -0.01
Ga  0.0000  0.6667  0.3333  -0.01

---

(9)
VASP calculation (PBE-GGA) on crystalline YTl2As at its relaxed geometry.

Calculated values
As for the raw total energy: -4.10 eV/atom. Its density of states at the Fermi level is 2.809 states/eV/cell. The value obtained for the energy relative to the elements is -0.14 eV/atom. The offset from the most stable computed form is 35.2 kJ/mol of atoms. As for the magnetic moment: 0.0 Bohr magnetons per cell.

abc: 4.1679 4.1679 6.0570
angles: 90.00 90.00 90.00
Fractional positions:
Y  0.5000  0.5000  0.2500
Tl  0.0000  0.0000  0.9921
Tl  0.0000  0.0000  0.5079
As  0.5000  0.5000  0.7500

---

(10)
VASP calculation (PBE-GGA) on crystalline CrTc at its relaxed geometry.

Calculated values
As for the raw total energy: -8.91 eV/atom. Its density of states at the Fermi level is 2.091 states/eV/cell. The value obtained for the energy relative to the elements is 1.09 eV/atom. As for the magnetic moment: 0.0 Bohr magnetons per cell.

abc: 4.0360 4.0360 4.8816
angles: 90.00 90.00 120.00
Fractional positions:
Cr  0.3333  0.6667  0.2500
Cr  0.6667  0.3333  0.7500
Tc  0.3333  0.6667  0.7500
Tc  0.6667  0.3333  0.2500

---

(11)
VASP calculation (PBE-GGA) on crystalline DyEr2Zn at its relaxed geometry.

Calculated values
As for the raw total energy: -3.91 eV/atom. Its density of states at the Fermi level is 4.148 states/eV/cell. The value obtained for the energy relative to the elements is -0.16 eV/atom. The offset from the most stable computed form is 0.0 kJ/mol of atoms. As for the magnetic moment: 0.0 Bohr magnetons per cell.

abc: 3.5358 3.5358 8.5527
angles: 90.00 90.00 90.00
Fractional positions:
Zn  0.5000  0.5000  0.0000
Dy  0.5000  0.5000  0.5000
Er  0.0000  0.0000  0.7941
Er  0.0000  0.0000  0.2059

---

(12)
VASP calculation (PBE-GGA) on crystalline CeTm4Mg at its relaxed geometry.

Calculated values
As for the raw total energy: -4.21 eV/atom. Its density of states at the Fermi level is 9.955 states/eV/cell. The value obtained for the energy relative to the elements is 0.02 eV/atom. The offset from the most stable computed form is 0.0 kJ/mol of atoms. As for the magnetic moment: 0.5 Bohr magnetons per cell.

abc: 3.5084 3.5084 14.1661
angles: 90.00 90.00 90.00
Site moments in Bohr magnetons follow the coordinates.
Fractional positions:
Ce  0.0000  0.0000  0.0000  0.64
Tm  0.5000  0.5000  0.1717  -0.02
Tm  0.0000  0.0000  0.6561  -0.10
Tm  0.0000  0.0000  0.3439  -0.10
Tm  0.5000  0.5000  0.8283  -0.02
Mg  0.5000  0.5000  0.5000  0.00